Density functional theory data (PBE) for a relaxed structure of Cs2DyH4.

Lattice parameters (Å, degrees): 4.447 4.447 8.577 74.97 74.97 90.00
Sites, in units of the cell vectors:
H  0.000  0.500  0.000
H  0.860  0.860  0.279
H  0.500  0.000  0.000
H  0.140  0.140  0.721
Cs  0.656  0.656  0.688
Cs  0.344  0.344  0.312
Dy  0.000  0.000  0.000

## Properties
Fermi-level density of states (states/eV/f.u.): 2.82
Raw total energy (eV per atom): -3.05
Total magnetization (μB/cell): 0.0
Symmetry: No. 139
Mass density (g/cm3): 4.55